Record 1
! AlNiCl, optimized geometry, DFT PBE; values from VASP
&SYSTEM
  ibrav = 0, nat = 3, ntyp = 3
/
ATOMIC_SPECIES
Cl 35.45 Cl.upf
Ni 58.69 Ni.upf
Al 26.98 Al.upf
CELL_PARAMETERS angstrom
-2.346 -3.250 1.112
3.139 -0.521 -2.679
1.895 -0.570 2.332
ATOMIC_POSITIONS crystal
Cl 0.333 0.667 0.500
Ni 0.667 0.333 0.500
Al 0.000 0.000 0.000
! - Raw formation energy: 0.110 eV/atom

=====

Record 2
! AlNi2Cl, optimized geometry, DFT PBE; values from VASP
&SYSTEM
  ibrav = 0, nat = 4, ntyp = 3
/
ATOMIC_SPECIES
Ni 58.69 Ni.upf
Cl 35.45 Cl.upf
Al 26.98 Al.upf
CELL_PARAMETERS angstrom
-0.031 -1.021 -2.966
2.929 -1.077 0.340
-2.244 -5.496 1.915
ATOMIC_POSITIONS crystal
Ni 0.500 0.500 0.238
Cl 0.500 0.500 0.857
Ni 0.000 0.000 0.008
Al 0.000 0.000 0.397
! - Raw formation energy: -0.041 eV/atom

=====

Record 3
! Al2NiCl8, optimized geometry, DFT PBE; values from VASP
&SYSTEM
  ibrav = 0, nat = 22, ntyp = 3
/
ATOMIC_SPECIES
Cl 35.45 Cl.upf
Ni 58.69 Ni.upf
Al 26.98 Al.upf
CELL_PARAMETERS angstrom
9.778 -0.137 -0.190
6.300 7.480 -0.190
6.668 3.045 8.947
ATOMIC_POSITIONS crystal
Cl 0.128 0.717 0.715
Ni 0.012 0.988 0.250
Cl 0.834 0.881 0.003
Cl 0.722 0.149 0.682
Cl 0.149 0.722 0.182
Cl 0.599 0.700 0.944
Cl 0.401 0.300 0.056
Cl 0.119 0.166 0.497
Cl 0.851 0.278 0.818
Cl 0.700 0.599 0.444
Al 0.846 0.314 0.471
Cl 0.300 0.401 0.556
Cl 0.881 0.834 0.503
Cl 0.278 0.851 0.318
Al 0.154 0.686 0.529
Cl 0.166 0.119 0.997
Cl 0.283 0.872 0.785
Ni 0.988 0.012 0.750
Cl 0.872 0.283 0.285
Al 0.686 0.154 0.029
Al 0.314 0.846 0.971
Cl 0.717 0.128 0.215
! - Raw formation energy: -1.255 eV/atom

=====

Record 4
! AlNiCl, optimized geometry, DFT PBE; values from VASP
&SYSTEM
  ibrav = 0, nat = 3, ntyp = 3
/
ATOMIC_SPECIES
Ni 58.69 Ni.upf
Cl 35.45 Cl.upf
Al 26.98 Al.upf
CELL_PARAMETERS angstrom
-2.370 -1.880 2.936
-1.882 -3.676 -0.846
1.353 -3.537 1.853
ATOMIC_POSITIONS crystal
Ni 0.250 0.250 0.250
Cl 0.500 0.500 0.500
Al 0.000 0.000 0.000
! - Raw formation energy: 0.157 eV/atom

=====

Q: raw formation energy of number 2 (AlNi2Cl)?
A: -0.041 eV/atom

=====

Q: Which formula does entry 2 have?
A: AlNi2Cl